Entry A
# CrTcAuI, relaxed, DFT PBE
data_CrTcAuI
_chemical_formula_sum 'Cr2 Tc2 Au2 I2'
_cell_length_a 6.031
_cell_length_b 3.212
_cell_length_c 8.720
_cell_angle_alpha 90.00
_cell_angle_beta 103.25
_cell_angle_gamma 90.00
_space_group_name_H-M_alt 'C 1 m 1'
_space_group_IT_number 8
loop_
_space_group_symop_operation_xyz
'x,y,z'
'x,-y,z'
'x+1/2,y+1/2,z'
'x+1/2,-y+1/2,z'
loop_
_atom_site_label
_atom_site_fract_x
_atom_site_fract_y
_atom_site_fract_z
Cr1 0.000 0.000 0.000
Tc1 0.166 0.500 0.839
Au1 0.407 0.500 0.597
I1 0.266 0.500 0.237
# Volume in Å³/cell: 164.4
# D(E_F) in states/eV/f.u.: 1.69

---

Entry B
# CrTcAuI, relaxed, DFT PBE
data_CrTcAuI
_chemical_formula_sum 'Cr2 Tc2 Au2 I2'
_cell_length_a 6.256
_cell_length_b 3.120
_cell_length_c 8.560
_cell_angle_alpha 90.00
_cell_angle_beta 90.23
_cell_angle_gamma 90.00
_space_group_name_H-M_alt 'C 1 m 1'
_space_group_IT_number 8
loop_
_space_group_symop_operation_xyz
'x,y,z'
'x,-y,z'
'x+1/2,y+1/2,z'
'x+1/2,-y+1/2,z'
loop_
_atom_site_label
_atom_site_fract_x
_atom_site_fract_y
_atom_site_fract_z
Cr1 0.000 0.000 0.000
Tc1 0.236 0.500 0.845
Au1 0.401 0.000 0.604
I1 0.381 0.000 0.246
# Volume in Å³/cell: 167.1
# D(E_F) in states/eV/f.u.: 2.16

---

Entry C
# CrTcAuI, relaxed, DFT PBE
data_CrTcAuI
_chemical_formula_sum 'Cr1 Tc1 Au1 I1'
_cell_length_a 3.111
_cell_length_b 3.373
_cell_length_c 8.237
_cell_angle_alpha 90.00
_cell_angle_beta 98.47
_cell_angle_gamma 90.00
_space_group_name_H-M_alt 'P 1 m 1'
_space_group_IT_number 6
loop_
_space_group_symop_operation_xyz
'x,y,z'
'x,-y,z'
loop_
_atom_site_label
_atom_site_fract_x
_atom_site_fract_y
_atom_site_fract_z
Cr1 0.000 0.000 0.000
Tc1 0.750 0.500 0.145
Au1 0.305 0.000 0.356
I1 0.428 0.000 0.736
# Volume in Å³/cell: 85.5
# D(E_F) in states/eV/f.u.: 2.42

---

Entry D
# CrTcAuI, relaxed, DFT PBE
data_CrTcAuI
_chemical_formula_sum 'Cr1 Tc1 Au1 I1'
_cell_length_a 3.238
_cell_length_b 3.238
_cell_length_c 9.080
_cell_angle_alpha 79.97
_cell_angle_beta 79.92
_cell_angle_gamma 60.09
_space_group_name_H-M_alt 'P 1'
_space_group_IT_number 1
loop_
_space_group_symop_operation_xyz
'x,y,z'
loop_
_atom_site_label
_atom_site_fract_x
_atom_site_fract_y
_atom_site_fract_z
Cr1 0.000 0.000 0.000
Tc1 0.280 0.285 0.161
Au1 0.866 0.872 0.405
I1 0.744 0.749 0.760
# Volume in Å³/cell: 80.8
# D(E_F) in states/eV/f.u.: 1.99

---

Most stable to least stable: entry C, entry B, entry D, entry A

---

Entry A
# CrTcAuI, relaxed, DFT PBE
data_CrTcAuI
_chemical_formula_sum 'Cr2 Tc2 Au2 I2'
_cell_length_a 3.391
_cell_length_b 4.377
_cell_length_c 12.129
_cell_angle_alpha 90.00
_cell_angle_beta 90.00
_cell_angle_gamma 90.00
_space_group_name_H-M_alt 'I m m 2'
_space_group_IT_number 44
loop_
_space_group_symop_operation_xyz
'x,y,z'
'-x,-y,z'
'-x,y,z'
'x,-y,z'
'x+1/2,y+1/2,z+1/2'
'-x+1/2,-y+1/2,z+1/2'
'-x+1/2,y+1/2,z+1/2'
'x+1/2,-y+1/2,z+1/2'
loop_
_atom_site_label
_atom_site_fract_x
_atom_site_fract_y
_atom_site_fract_z
Cr1 0.000 0.000 0.000
Tc1 0.000 0.500 0.378
Au1 0.000 0.000 0.516
I1 0.000 0.000 0.235
# Volume in Å³/cell: 180.0
# D(E_F) in states/eV/f.u.: 2.05

---

Entry B
# CrTcAuI, relaxed, DFT PBE
data_CrTcAuI
_chemical_formula_sum 'Cr1 Tc1 Au1 I1'
_cell_length_a 3.511
_cell_length_b 4.873
_cell_length_c 6.055
_cell_angle_alpha 86.19
_cell_angle_beta 87.44
_cell_angle_gamma 72.26
_space_group_name_H-M_alt 'P 1'
_space_group_IT_number 1
loop_
_space_group_symop_operation_xyz
'x,y,z'
loop_
_atom_site_label
_atom_site_fract_x
_atom_site_fract_y
_atom_site_fract_z
Cr1 0.000 0.000 0.000
Tc1 0.401 0.145 0.765
Au1 0.700 0.565 0.885
I1 0.487 0.893 0.366
# Volume in Å³/cell: 98.4
# D(E_F) in states/eV/f.u.: 2.32

---

Most stable to least stable: entry A, entry B

---

Entry A
# CrInAu3, relaxed, DFT PBE
data_CrInAu3
_chemical_formula_sum 'Cr1 In1 Au3'
_cell_length_a 5.161
_cell_length_b 5.161
_cell_length_c 5.161
_cell_angle_alpha 90.00
_cell_angle_beta 90.00
_cell_angle_gamma 90.00
_space_group_name_H-M_alt 'P m -3 m'
_space_group_IT_number 221
_space_group_name_Hall '-P 4 2 3'
loop_
_atom_site_label
_atom_site_fract_x
_atom_site_fract_y
_atom_site_fract_z
Cr1 0.000 0.000 0.000
In1 0.500 0.500 0.500
Au1 0.000 0.500 0.500
# Volume in Å³/cell: 137.5
# D(E_F) in states/eV/f.u.: 2.62

---

Entry B
# CrInAu3, relaxed, DFT PBE
data_CrInAu3
_chemical_formula_sum 'Cr1 In1 Au3'
_cell_length_a 4.917
_cell_length_b 4.917
_cell_length_c 4.917
_cell_angle_alpha 90.00
_cell_angle_beta 90.00
_cell_angle_gamma 90.00
_space_group_name_H-M_alt 'P m -3 m'
_space_group_IT_number 221
_space_group_name_Hall '-P 4 2 3'
loop_
_atom_site_label
_atom_site_fract_x
_atom_site_fract_y
_atom_site_fract_z
Cr1 0.000 0.000 0.000
In1 0.500 0.500 0.500
Au1 0.000 0.000 0.500
# Volume in Å³/cell: 118.9
# D(E_F) in states/eV/f.u.: 5.86

---

Most stable to least stable: entry B, entry A

---

Entry A
# CrIrAu2, relaxed, DFT PBE
data_CrIrAu2
_chemical_formula_sum 'Cr3 Ir3 Au6'
_cell_length_a 2.8833
_cell_length_b 2.8833
_cell_length_c 27.1456
_cell_angle_alpha 90.00
_cell_angle_beta 90.00
_cell_angle_gamma 120.00
_space_group_name_H-M_alt 'R -3 m'
_space_group_IT_number 166
_space_group_name_Hall '-R 3 2"'
loop_
_atom_site_label
_atom_site_fract_x
_atom_site_fract_y
_atom_site_fract_z
Cr1 0.0000 0.0000 0.0000
Ir1 0.0000 0.0000 0.5000
Au1 0.0000 0.0000 0.2529
# Volume in Å³/cell: 195.4
# D(E_F) in states/eV/f.u.: 4.58

---

Entry B
# CrIrAu2, relaxed, DFT PBE
data_CrIrAu2
_chemical_formula_sum 'Cr4 Ir4 Au8'
_cell_length_a 7.348
_cell_length_b 7.348
_cell_length_c 5.311
_cell_angle_alpha 90.00
_cell_angle_beta 90.00
_cell_angle_gamma 90.00
_space_group_name_H-M_alt 'I -4 2 d'
_space_group_IT_number 122
_space_group_name_Hall 'I -4 2bw'
loop_
_atom_site_label
_atom_site_fract_x
_atom_site_fract_y
_atom_site_fract_z
Cr1 0.000 0.000 0.000
Ir1 0.000 0.000 0.500
Au1 0.249 0.750 0.125
# Volume in Å³/cell: 286.8
# D(E_F) in states/eV/f.u.: 5.65

---

Entry C
# CrIrAu2, relaxed, DFT PBE
data_CrIrAu2
_chemical_formula_sum 'Cr1 Ir1 Au2'
_cell_length_a 3.018
_cell_length_b 4.621
_cell_length_c 4.711
_cell_angle_alpha 90.00
_cell_angle_beta 90.00
_cell_angle_gamma 90.00
_space_group_name_H-M_alt 'P m m m'
_space_group_IT_number 47
loop_
_space_group_symop_operation_xyz
'x,y,z'
'-x,-y,-z'
'-x,-y,z'
'x,y,-z'
'x,-y,-z'
'-x,y,z'
'-x,y,-z'
'x,-y,z'
loop_
_atom_site_label
_atom_site_fract_x
_atom_site_fract_y
_atom_site_fract_z
Cr1 0.000 0.000 0.000
Ir1 0.500 0.500 0.000
Au1 0.000 0.500 0.500
Au2 0.500 0.000 0.500
# Volume in Å³/cell: 65.7
# D(E_F) in states/eV/f.u.: 3.73

---

Most stable to least stable: entry C, entry A, entry B

---

Entry A
# KCr3Au, relaxed, DFT PBE
data_KCr3Au
_chemical_formula_sum 'K1 Cr3 Au1'
_cell_length_a 5.235
_cell_length_b 5.235
_cell_length_c 5.235
_cell_angle_alpha 90.00
_cell_angle_beta 90.00
_cell_angle_gamma 90.00
_space_group_name_H-M_alt 'P m -3 m'
_space_group_IT_number 221
_space_group_name_Hall '-P 4 2 3'
loop_
_atom_site_label
_atom_site_fract_x
_atom_site_fract_y
_atom_site_fract_z
K1 0.000 0.000 0.000
Cr1 0.000 0.500 0.500
Au1 0.500 0.500 0.500
# Volume in Å³/cell: 143.5
# D(E_F) in states/eV/f.u.: 3.23

---

Entry B
# KCr3Au, relaxed, DFT PBE
data_KCr3Au
_chemical_formula_sum 'K1 Cr3 Au1'
_cell_length_a 4.212
_cell_length_b 4.212
_cell_length_c 4.212
_cell_angle_alpha 90.00
_cell_angle_beta 90.00
_cell_angle_gamma 90.00
_space_group_name_H-M_alt 'P m -3 m'
_space_group_IT_number 221
_space_group_name_Hall '-P 4 2 3'
loop_
_atom_site_label
_atom_site_fract_x
_atom_site_fract_y
_atom_site_fract_z
K1 0.000 0.000 0.000
Cr1 0.000 0.000 0.500
Au1 0.500 0.500 0.500
# Volume in Å³/cell: 74.7
# D(E_F) in states/eV/f.u.: 7.46

---

Most stable to least stable: entry A, entry B